1.
Material: SmPuZr
Method: DFT, PBE
State: optimized geometry

Structure (POSCAR):
```
SmPuZr
1.0
0.000 3.471 3.471
3.471 0.000 3.471
3.471 3.471 0.000
Pu Sm Zr
1 1 1
Direct
0.000 0.000 0.000
0.250 0.250 0.250
0.750 0.750 0.750
```

**Total moment**: 7.26 Bohr magnetons per cell
**E_form**: 0.9357 eV/atom
**Energy above the most stable polymorph in this dataset**: 0.0 kJ/mol of formula units
**Uncorrected energy**: -8.19 eV/atom
**V**: 27.9 A^3/atom


2.
Material: PuSn
Method: DFT, PBE
State: optimized geometry

Structure (POSCAR):
```
PuSn
1.0
3.430 0.000 0.000
-1.715 2.970 0.000
0.000 0.000 5.326
Pu Sn
1 1
Direct
0.667 0.333 0.750
0.333 0.667 0.250
```

**Total moment**: 6.05 Bohr magnetons per cell
**Uncorrected energy**: -9.35 eV/atom
**V**: 27.1 A^3/atom


3.
Material: PuSn
Method: DFT, PBE
State: optimized geometry

Structure (POSCAR):
```
PuSn
1.0
-1.498 -4.087 -2.524
-4.405 0.020 -2.433
-0.096 0.044 -5.031
Pu Sn
1 1
Direct
0.000 0.000 0.000
0.250 0.250 0.250
```

**Total moment**: 5.61 Bohr magnetons per cell
**Uncorrected energy**: -8.38 eV/atom
**V**: 45.1 A^3/atom


4.
Material: PuSn
Method: DFT, PBE
State: optimized geometry

Structure (POSCAR):
```
PuSn
1.0
1.476 2.164 3.590
1.066 4.305 -0.282
-2.561 3.056 1.961
Pu Sn
1 1
Direct
0.000 0.000 0.000
0.500 0.500 0.500
```

**Total moment**: 5.36 Bohr magnetons per cell
**Uncorrected energy**: -9.09 eV/atom
**V**: 31.0 A^3/atom


5.
Material: SrPuSn
Method: DFT, PBE
State: optimized geometry

Structure (POSCAR):
```
SrPuSn
1.0
0.000 3.852 3.852
3.852 0.000 3.852
3.852 3.852 0.000
Pu Sn Sr
1 1 1
Direct
0.500 0.500 0.500
0.250 0.250 0.250
0.000 0.000 0.000
```

**Total moment**: 6.00 Bohr magnetons per cell
**Energy above the most stable polymorph in this dataset**: 0.0 kJ/mol of formula units
**Uncorrected energy**: -6.77 eV/atom
**V**: 38.1 A^3/atom


6.
Material: PuTaSn
Method: DFT, PBE
State: optimized geometry

Structure (POSCAR):
```
PuTaSn
1.0
0.000 3.353 3.353
3.353 0.000 3.353
3.353 3.353 0.000
Pu Sn Ta
1 1 1
Direct
0.000 0.000 0.000
0.500 0.500 0.500
0.250 0.250 0.250
```

**Total moment**: 4.31 Bohr magnetons per cell
**Uncorrected energy**: -9.54 eV/atom
**V**: 25.1 A^3/atom


7.
Material: TbPuSn
Method: DFT, PBE
State: optimized geometry

Structure (POSCAR):
```
TbPuSn
1.0
-3.744 0.218 3.509
-4.825 0.994 -1.452
-3.555 -3.702 0.195
Pu Sn Tb
1 1 1
Direct
0.000 0.000 0.000
0.250 0.250 0.250
0.750 0.750 0.750
```

**Total moment**: 6.95 Bohr magnetons per cell
**Uncorrected energy**: -7.42 eV/atom
**V**: 31.9 A^3/atom


8.
Material: PuTcSn
Method: DFT, PBE
State: optimized geometry

Structure (POSCAR):
```
PuTcSn
1.0
0.000 3.301 3.301
3.301 0.000 3.301
3.301 3.301 0.000
Pu Sn Tc
1 1 1
Direct
0.500 0.500 0.500
0.250 0.250 0.250
0.000 0.000 0.000
```

**Total moment**: 5.32 Bohr magnetons per cell
**Uncorrected energy**: -8.94 eV/atom
**V**: 24.0 A^3/atom